1.
KAsIN2: relaxed, GGA-PBEsol.

a = 4.799 Å, b = 4.799 Å, c = 6.748 Å
α = 90.00°, β = 90.00°, γ = 90.00°
Each line ends with the local moment (μB).
Element x y z (fractional)
I 0.000 0.000 0.500  0.04
As 0.500 0.500 0.500  0.58
K 0.000 0.000 0.000  0.10
N 0.000 0.500 0.000  1.69
N 0.500 0.000 0.000  1.69

Values from the calculation:
ρ in Mg/m³: 2.873
Formation energy (no corrections) in eV per atom: 2.173
Space group: P4/mmm, No. 123
Raw total energy in eV/atom: -2.839
Total magnetic moment in μB per formula unit: 6.5

=====

2.
CeAl3Cu: relaxed, GGA-PBEsol.

a = 4.195 Å, b = 4.195 Å, c = 5.994 Å
α = 110.48°, β = 110.48°, γ = 90.00°
Each line ends with the local moment (μB).
Element x y z (fractional)
Ce 0.016 0.016 0.032  0.00
Cu 0.382 0.382 0.764  0.58
Al 0.606 0.606 0.212  0.00
Al 0.766 0.266 0.532  0.00
Al 0.266 0.766 0.532  0.00

Values from the calculation:
ρ in Mg/m³: 5.156
Space group: I4mm, No. 107
ΔE_f in kJ per mole of atoms: -37.0
Raw total energy in eV/atom: -5.024
Total magnetic moment in μB per formula unit: 0.7

=====

3.
AlTeI3: relaxed, GGA-PBEsol.

a = 5.505 Å, b = 5.505 Å, c = 5.505 Å
α = 90.00°, β = 90.00°, γ = 90.00°
Each line ends with the local moment (μB).
Element x y z (fractional)
I 0.000 0.500 0.000  0.10
I 0.000 0.000 0.500  0.10
I 0.500 0.000 0.000  0.10
Te 0.500 0.500 0.500  0.94
Al 0.000 0.000 0.000  0.00

Values from the calculation:
ρ in Mg/m³: 5.329
Formation energy (no corrections) in eV per atom: 0.103
Space group: Pm-3m, No. 221
Raw total energy in eV/atom: -2.480
Total magnetic moment in μB per formula unit: 2.1

=====

4.
CeTe: relaxed, GGA-PBEsol.

a = 4.408 Å, b = 4.408 Å, c = 4.408 Å
α = 60.00°, β = 60.00°, γ = 60.00°
Each line ends with the local moment (μB).
Element x y z (fractional)
Te 0.500 0.500 0.500  -0.02
Ce 0.000 0.000 0.000  0.82

Values from the calculation:
ρ in Mg/m³: 7.339
Formation energy (no corrections) in eV per atom: -1.306
Space group: Fm-3m, No. 225
Raw total energy in eV/atom: -6.367
Total magnetic moment in μB per formula unit: 1.0

=====

5.
AgRuW3: relaxed, GGA-PBEsol.

a = 4.631 Å, b = 4.631 Å, c = 4.631 Å
α = 90.00°, β = 90.00°, γ = 90.00°
Element x y z (fractional)
Ru 0.000 0.000 0.000
Ag 0.500 0.500 0.500
W 0.000 0.500 0.000
W 0.000 0.000 0.500
W 0.500 0.000 0.000

Values from the calculation:
ρ in Mg/m³: 12.710
Space group: Pm-3m, No. 221
ΔE_f in kJ per mole of atoms: 196.9
Raw total energy in eV/atom: -8.941
Total magnetic moment in μB per formula unit: 0.0

=====

6.
CoSeBr2: relaxed, GGA-PBEsol.

a = 3.316 Å, b = 5.404 Å, c = 6.584 Å
α = 109.94°, β = 104.59°, γ = 90.00°
Each line ends with the local moment (μB).
Element x y z (fractional)
Br 0.942 0.991 0.883  0.05
Br 0.153 0.589 0.306  0.07
Co 0.511 0.440 0.022  1.09
Se 0.894 0.479 0.788  -0.06

Values from the calculation:
ρ in Mg/m³: 4.627
Formation energy (no corrections) in eV per atom: -0.033
Space group: Cm, No. 8
Raw total energy in eV/atom: -3.865
Total magnetic moment in μB per formula unit: 1.2

=====

7.
MnPb3O: relaxed, GGA-PBEsol.

a = 4.940 Å, b = 4.940 Å, c = 4.940 Å
α = 90.00°, β = 90.00°, γ = 90.00°
Each line ends with the local moment (μB).
Element x y z (fractional)
Pb 0.000 0.500 0.000  -0.04
Pb 0.000 0.000 0.500  -0.04
Pb 0.500 0.000 0.000  -0.04
Mn 0.000 0.000 0.000  0.78
O 0.500 0.500 0.500  0.32

Values from the calculation:
ρ in Mg/m³: 9.539
Formation energy (no corrections) in eV per atom: 0.495
Space group: Pm-3m, No. 221
Raw total energy in eV/atom: -4.906
Total magnetic moment in μB per formula unit: 1.0

=====

8.
MgCdPb2: relaxed, GGA-PBEsol.

a = 3.396 Å, b = 4.436 Å, c = 6.837 Å
α = 90.00°, β = 90.00°, γ = 90.00°
Element x y z (fractional)
Pb 0.000 0.000 0.750
Pb 0.000 0.000 0.250
Mg 0.500 0.500 0.500
Cd 0.500 0.500 0.000

Values from the calculation:
ρ in Mg/m³: 8.886
Space group: Pmmm, No. 47
ΔE_f in kJ per mole of atoms: 0.0
Raw total energy in eV/atom: -2.728
Total magnetic moment in μB per formula unit: 0.0